No. 1
Density functional theory data (PBE-GGA) for a relaxed structure of K2ScTc.

Geometry as CIF:
```
data_K2ScTc
_space_group_name_H-M_alt 'P 1'
_space_group_IT_number 1
_cell_length_a 5.670
_cell_length_b 5.670
_cell_length_c 5.670
_cell_angle_alpha 60.00
_cell_angle_beta 60.00
_cell_angle_gamma 60.00
loop_
_space_group_symop_operation_xyz
'x,y,z'
loop_
_atom_site_label
_atom_site_fract_x
_atom_site_fract_y
_atom_site_fract_z
Sc1 0.000 0.000 0.000
Tc1 0.500 0.500 0.500
K1 0.250 0.250 0.250
K2 0.750 0.750 0.750
```

***

No. 2
Density functional theory data (PBE-GGA) for a relaxed structure of KScTc2.

Geometry as CIF:
```
data_KScTc2
_space_group_name_H-M_alt 'P 1'
_space_group_IT_number 1
_cell_length_a 3.377
_cell_length_b 4.333
_cell_length_c 5.043
_cell_angle_alpha 90.00
_cell_angle_beta 90.00
_cell_angle_gamma 90.00
loop_
_space_group_symop_operation_xyz
'x,y,z'
loop_
_atom_site_label
_atom_site_fract_x
_atom_site_fract_y
_atom_site_fract_z
Tc1 0.500 0.500 0.000
Sc1 0.000 0.500 0.500
K1 0.500 0.000 0.500
Tc2 0.000 0.000 0.000
```

***

No. 3
Density functional theory data (PBE-GGA) for a relaxed structure of KScTc2.

Geometry as CIF:
```
data_KScTc2
_space_group_name_H-M_alt 'P 1'
_space_group_IT_number 1
_cell_length_a 4.804
_cell_length_b 4.804
_cell_length_c 4.804
_cell_angle_alpha 60.00
_cell_angle_beta 60.00
_cell_angle_gamma 60.00
loop_
_space_group_symop_operation_xyz
'x,y,z'
loop_
_atom_site_label
_atom_site_fract_x
_atom_site_fract_y
_atom_site_fract_z
Tc1 0.750 0.750 0.750
K1 0.000 0.000 0.000
Tc2 0.250 0.250 0.250
Sc1 0.500 0.500 0.500
```

***

No. 4
Density functional theory data (PBE-GGA) for a relaxed structure of KScTc2.

Geometry as CIF:
```
data_KScTc2
_space_group_name_H-M_alt 'P 1'
_space_group_IT_number 1
_cell_length_a 10.494
_cell_length_b 10.494
_cell_length_c 10.494
_cell_angle_alpha 16.14
_cell_angle_beta 16.14
_cell_angle_gamma 16.14
loop_
_space_group_symop_operation_xyz
'x,y,z'
loop_
_atom_site_label
_atom_site_fract_x
_atom_site_fract_y
_atom_site_fract_z
Sc1 0.750 0.750 0.750
Tc1 0.011 0.011 0.011
K1 0.250 0.250 0.250
Tc2 0.489 0.489 0.489
```

***

No. 5
Density functional theory data (PBE-GGA) for a relaxed structure of KSc2Tc.

Geometry as CIF:
```
data_KSc2Tc
_space_group_name_H-M_alt 'P 1'
_space_group_IT_number 1
_cell_length_a 3.697
_cell_length_b 4.876
_cell_length_c 4.876
_cell_angle_alpha 90.00
_cell_angle_beta 90.00
_cell_angle_gamma 90.00
loop_
_space_group_symop_operation_xyz
'x,y,z'
loop_
_atom_site_label
_atom_site_fract_x
_atom_site_fract_y
_atom_site_fract_z
Tc1 0.500 0.500 0.000
Sc1 0.000 0.500 0.500
Sc2 0.000 0.000 0.000
K1 0.500 0.000 0.500
```

***

No. 6
Density functional theory data (PBE-GGA) for a relaxed structure of K2ScTc.

Geometry as CIF:
```
data_K2ScTc
_space_group_name_H-M_alt 'P 1'
_space_group_IT_number 1
_cell_length_a 10.871
_cell_length_b 10.871
_cell_length_c 4.187
_cell_angle_alpha 79.29
_cell_angle_beta 79.29
_cell_angle_gamma 17.12
loop_
_space_group_symop_operation_xyz
'x,y,z'
loop_
_atom_site_label
_atom_site_fract_x
_atom_site_fract_y
_atom_site_fract_z
K1 0.600 0.600 0.394
Sc1 0.750 0.750 0.750
Tc1 0.250 0.250 0.250
K2 0.900 0.900 0.106
```

***

| no. | calculated density (g/cm3) | DOS at the Fermi energy (states/eV per cell) | energy of formation from the pure elements (meV/atom) |
| --- | --- | --- | --- |
| 1 | 2.8 | 2.99 | 1531 |
| 2 | 6.3 | 3.76 | 1122 |
| 3 | 5.9 | 5.54 | 1398 |
| 4 | 6.0 | 5.52 | 775 |
| 5 | 4.3 | 3.40 | 811 |
| 6 | 2.6 | 4.23 | 560 |